No. 1
K2TiI5 GGA-PBE optimized geometry; uncorrected formation energy = -1.05 eV/atom; DOS(E_F) = 0.31 states/eV per atom; symmetry = Fmm2, No. 42; relative energy among the computed polymorphs = 0.0000 eV per atom; magnetization = 1.0 Bohr magnetons per cell
1.0
0.000 6.186 4.833
6.186 0.000 4.833
6.186 6.186 0.000
K Ti I
2 1 5
direct
0.000 0.000 0.500
0.500 0.500 0.000
0.194 0.194 0.806
0.034 0.475 0.525
0.036 0.476 0.964
0.475 0.034 0.966
0.476 0.036 0.524
0.928 0.928 0.072



No. 2
Al2RhPb GGA-PBE optimized geometry; DOS(E_F) = 0.52 states/eV per atom; symmetry = F-43m, No. 216; formation enthalpy at 0 K = 105.5 meV/atom; magnetization = 0.0 Bohr magnetons per cell
1.0
0.000 3.331 3.331
3.331 0.000 3.331
3.331 3.331 0.000
Al Rh Pb
2 1 1
direct
0.000 0.000 0.000
0.250 0.250 0.250
0.500 0.500 0.500
0.750 0.750 0.750



No. 3
GdHoAlRh GGA-PBE optimized geometry; DOS(E_F) = 0.85 states/eV per atom; symmetry = F-43m, No. 216; formation enthalpy at 0 K = -543.7 meV/atom; magnetization = 7.1 Bohr magnetons per cell
1.0
0.000 3.537 3.537
3.537 0.000 3.537
3.537 3.537 0.000
Gd Ho Al Rh
1 1 1 1
direct
0.000 0.000 0.000
0.500 0.500 0.500
0.250 0.250 0.250
0.750 0.750 0.750



No. 4
RbNaTlCu2 GGA-PBE optimized geometry; DOS(E_F) = 0.40 states/eV per atom; symmetry = P4/mmm, No. 123; formation enthalpy at 0 K = 1030.0 meV/atom; magnetization = 0.0 Bohr magnetons per cell
1.0
5.869 0.000 0.000
0.000 5.869 0.000
0.000 0.000 6.358
Rb Na Tl Cu
1 1 1 2
direct
0.000 0.000 0.000
0.500 0.500 0.500
0.000 0.000 0.500
0.000 0.500 0.000
0.500 0.000 0.000



No. 5
LiIr3I GGA-PBE optimized geometry; uncorrected formation energy = 1.36 eV/atom; DOS(E_F) = 2.45 states/eV per atom; symmetry = Pm-3m, No. 221; relative energy among the computed polymorphs = 0.0000 eV per atom; magnetization = 0.0 Bohr magnetons per cell
1.0
4.312 0.000 0.000
0.000 4.312 0.000
0.000 0.000 4.312
Li Ir I
1 3 1
direct
0.000 0.000 0.000
0.000 0.000 0.500
0.000 0.500 0.000
0.500 0.000 0.000
0.500 0.500 0.500



No. 6
LaTa2Mo GGA-PBE optimized geometry; DOS(E_F) = 1.28 states/eV per atom; symmetry = Pmmm, No. 47; formation enthalpy at 0 K = 572.4 meV/atom; relative energy among the computed polymorphs = 0.3663 eV per atom; magnetization = 0.0 Bohr magnetons per cell
1.0
3.310 0.000 0.000
0.000 4.663 0.000
0.000 0.000 5.177
La Ta Mo
1 2 1
direct
0.000 0.000 0.000
0.000 0.500 0.500
0.500 0.000 0.500
0.500 0.500 0.000



No. 7
LiTl2Si GGA-PBE optimized geometry; uncorrected formation energy = 0.25 eV/atom; DOS(E_F) = 0.71 states/eV per atom; symmetry = F-43m, No. 216; relative energy among the computed polymorphs = 0.1115 eV per atom; magnetization = 0.0 Bohr magnetons per cell
1.0
0.000 3.637 3.637
3.637 0.000 3.637
3.637 3.637 0.000
Li Tl Si
1 2 1
direct
0.000 0.000 0.000
0.500 0.500 0.500
0.750 0.750 0.750
0.250 0.250 0.250



No. 8
Ac5IrSe5 GGA-PBE optimized geometry; uncorrected formation energy = -1.69 eV/atom; DOS(E_F) = 0.59 states/eV per atom; symmetry = C2/m, No. 12; magnetization = 0.0 Bohr magnetons per cell
1.0
7.159 -3.149 0.000
7.159 3.149 0.000
-2.688 0.000 8.499
Ac Ir Se
5 1 5
direct
0.000 0.000 0.000
0.341 0.341 0.674
0.354 0.354 0.163
0.646 0.646 0.837
0.659 0.659 0.326
0.500 0.500 0.000
0.176 0.176 0.847
0.186 0.186 0.329
0.500 0.500 0.500
0.814 0.814 0.671
0.824 0.824 0.153



No. 9
AcSnHgGe GGA-PBE optimized geometry; DOS(E_F) = 0.64 states/eV per atom; symmetry = F-43m, No. 216; formation enthalpy at 0 K = -321.4 meV/atom; magnetization = 0.0 Bohr magnetons per cell
1.0
0.000 3.819 3.819
3.819 0.000 3.819
3.819 3.819 0.000
Ac Sn Hg Ge
1 1 1 1
direct
0.000 0.000 0.000
0.500 0.500 0.500
0.750 0.750 0.750
0.250 0.250 0.250



No. 10
Hf2Al3Ni GGA-PBE optimized geometry; DOS(E_F) = 0.87 states/eV per atom; symmetry = R-3m, No. 166; formation enthalpy at 0 K = -536.9 meV/atom; magnetization = 0.0 Bohr magnetons per cell
1.0
2.623 1.514 4.118
-2.623 1.514 4.118
0.000 -3.028 4.118
Hf Al Ni
2 3 1
direct
0.126 0.126 0.126
0.874 0.874 0.874
0.000 0.500 0.500
0.500 0.000 0.500
0.500 0.500 0.000
0.500 0.500 0.500



No. 11
LiCuB3 GGA-PBE optimized geometry; DOS(E_F) = 0.33 states/eV per atom; symmetry = Pm-3m, No. 221; formation enthalpy at 0 K = 1337.8 meV/atom; relative energy among the computed polymorphs = 0.0000 eV per atom; magnetization = 0.0 Bohr magnetons per cell
1.0
3.844 0.000 0.000
0.000 3.844 0.000
0.000 0.000 3.844
Li Cu B
1 1 3
direct
0.000 0.000 0.000
0.500 0.500 0.500
0.000 0.500 0.500
0.500 0.000 0.500
0.500 0.500 0.000



No. 12
Tb5Nd2SmMg GGA-PBE optimized geometry; DOS(E_F) = 1.41 states/eV per atom; symmetry = Cmc2_1, No. 36; formation enthalpy at 0 K = 93.9 meV/atom; magnetization = 0.0 Bohr magnetons per cell
1.0
2.750 -10.077 0.000
2.750 10.077 0.000
0.000 0.000 10.609
Tb Nd Sm Mg
10 4 2 2
direct
0.000 0.000 0.000
0.000 0.000 0.500
0.117 0.883 0.751
0.210 0.790 0.450
0.211 0.789 0.052
0.487 0.513 0.751
0.513 0.487 0.251
0.789 0.211 0.552
0.790 0.210 0.950
0.883 0.117 0.251
0.385 0.615 0.041
0.385 0.615 0.460
0.615 0.385 0.541
0.615 0.385 0.960
0.296 0.704 0.751
0.704 0.296 0.251
0.094 0.906 0.249
0.906 0.094 0.749



No. 13
Ba2LaBr GGA-PBE optimized geometry; uncorrected formation energy = -0.39 eV/atom; DOS(E_F) = 1.35 states/eV per atom; symmetry = I-42d, No. 122; relative energy among the computed polymorphs = 0.2539 eV per atom; magnetization = 2.3 Bohr magnetons per cell
1.0
-5.553 5.553 3.040
5.553 -5.553 3.040
5.553 5.553 -3.040
Ba La Br
4 2 2
direct
0.013 0.625 0.888
0.375 0.263 0.388
0.737 0.125 0.112
0.875 0.987 0.612
0.250 0.750 0.500
0.500 0.500 0.000
0.000 0.000 0.000
0.750 0.250 0.500



No. 14
K2Sm2PaTe6 GGA-PBE optimized geometry; uncorrected formation energy = -1.25 eV/atom; DOS(E_F) = 0.25 states/eV per atom; symmetry = C2/m, No. 12; magnetization = 1.1 Bohr magnetons per cell
1.0
3.899 -6.730 0.000
3.899 6.730 0.000
-2.641 0.000 8.434
K Sm Pa Te
2 2 1 6
direct
0.169 0.831 0.000
0.831 0.169 0.000
0.333 0.667 0.500
0.667 0.333 0.500
0.000 0.000 0.500
0.073 0.398 0.710
0.257 0.257 0.292
0.398 0.073 0.710
0.602 0.927 0.290
0.743 0.743 0.708
0.927 0.602 0.290



No. 15
Er3RhPb2 GGA-PBE optimized geometry; DOS(E_F) = 0.57 states/eV per atom; symmetry = C2/c, No. 15; formation enthalpy at 0 K = -489.4 meV/atom; relative energy among the computed polymorphs = 0.1112 eV per atom; magnetization = 0.0 Bohr magnetons per cell
1.0
7.261 -3.096 0.000
7.261 3.096 0.000
-1.880 0.000 6.921
Er Rh Pb
6 2 4
direct
0.185 0.815 0.750
0.267 0.427 0.385
0.427 0.267 0.885
0.573 0.733 0.115
0.733 0.573 0.615
0.815 0.185 0.250
0.356 0.644 0.250
0.644 0.356 0.750
0.071 0.247 0.026
0.247 0.071 0.526
0.753 0.929 0.474
0.929 0.753 0.974



No. 16
Cs2KPd GGA-PBE optimized geometry; DOS(E_F) = 1.36 states/eV per atom; symmetry = Fm-3m, No. 225; formation enthalpy at 0 K = 242.7 meV/atom; relative energy among the computed polymorphs = 0.1116 eV per atom; magnetization = 0.0 Bohr magnetons per cell
1.0
0.000 4.551 4.551
4.551 0.000 4.551
4.551 4.551 0.000
Cs K Pd
2 1 1
direct
0.250 0.250 0.250
0.750 0.750 0.750
0.000 0.000 0.000
0.500 0.500 0.500



No. 17
HoScCo4 GGA-PBE optimized geometry; DOS(E_F) = 1.16 states/eV per atom; symmetry = F-43m, No. 216; formation enthalpy at 0 K = -280.6 meV/atom; magnetization = 3.7 Bohr magnetons per cell
1.0
0.000 3.514 3.514
3.514 0.000 3.514
3.514 3.514 0.000
Ho Sc Co
1 1 4
direct
0.000 0.000 0.000
0.750 0.750 0.750
0.375 0.375 0.375
0.375 0.375 0.874
0.375 0.874 0.375
0.874 0.375 0.375



No. 18
Cs12KRb6 GGA-PBE optimized geometry; DOS(E_F) = 1.13 states/eV per atom; symmetry = R-3, No. 148; formation enthalpy at 0 K = 10.7 meV/atom; relative energy among the computed polymorphs = 0.0085 eV per atom; magnetization = 0.0 Bohr magnetons per cell
1.0
8.895 5.135 7.466
-8.895 5.135 7.466
0.000 -10.271 7.466
Cs K Rb
12 1 6
direct
0.026 0.303 0.934
0.066 0.974 0.697
0.126 0.349 0.460
0.303 0.934 0.026
0.349 0.460 0.126
0.460 0.126 0.349
0.540 0.874 0.651
0.651 0.540 0.874
0.697 0.066 0.974
0.874 0.651 0.540
0.934 0.026 0.303
0.974 0.697 0.066
0.500 0.500 0.500
0.240 0.609 0.760
0.240 0.760 0.391
0.391 0.240 0.760
0.609 0.760 0.240
0.760 0.240 0.609
0.760 0.391 0.240



No. 19
MnTeRh2 GGA-PBE optimized geometry; uncorrected formation energy = -0.04 eV/atom; DOS(E_F) = 0.55 states/eV per atom; symmetry = Pmm2, No. 25; magnetization = 4.7 Bohr magnetons per cell
1.0
3.251 0.000 0.000
0.000 3.875 0.000
0.000 0.000 5.359
Mn Te Rh
1 1 2
direct
0.000 0.000 0.000
0.500 0.500 0.661
0.000 0.000 0.484
0.500 0.500 0.161



No. 20
GeBiSe GGA-PBE optimized geometry; uncorrected formation energy = -0.03 eV/atom; DOS(E_F) = 0.07 states/eV per atom; symmetry = P-1, No. 2; magnetization = 0.0 Bohr magnetons per cell
1.0
4.199 0.000 0.000
0.103 6.082 0.000
0.062 0.818 7.356
Ge Bi Se
2 2 2
direct
0.246 0.467 0.407
0.754 0.533 0.593
0.417 0.911 0.703
0.583 0.089 0.297
0.178 0.790 0.172
0.822 0.210 0.828



No. 21
Sr3Si GGA-PBE optimized geometry; uncorrected formation energy = 0.06 eV/atom; DOS(E_F) = 0.66 states/eV per atom; symmetry = I4/mmm, No. 139; relative energy among the computed polymorphs = 0.2397 eV per atom; magnetization = 0.0 Bohr magnetons per cell
1.0
-2.597 2.597 5.173
2.597 -2.597 5.173
2.597 2.597 -5.173
Sr Si
3 1
direct
0.000 0.000 0.000
0.250 0.750 0.500
0.750 0.250 0.500
0.500 0.500 0.000



No. 22
MnBr2Cl GGA-PBE optimized geometry; uncorrected formation energy = -0.40 eV/atom; DOS(E_F) = 0.44 states/eV per atom; symmetry = Immm, No. 71; relative energy among the computed polymorphs = 0.3165 eV per atom; magnetization = 4.3 Bohr magnetons per cell
1.0
-1.683 3.013 5.478
1.683 -3.013 5.478
1.683 3.013 -5.478
Mn Br Cl
1 2 1
direct
0.000 0.000 0.000
0.165 0.665 0.500
0.835 0.335 0.500
0.500 0.500 0.000



No. 23
FeCuAsSe2 GGA-PBE optimized geometry; uncorrected formation energy = 0.58 eV/atom; DOS(E_F) = 1.00 states/eV per atom; symmetry = P4/mmm, No. 123; relative energy among the computed polymorphs = 0.0000 eV per atom; magnetization = 2.1 Bohr magnetons per cell
1.0
4.812 0.000 0.000
0.000 4.812 0.000
0.000 0.000 4.437
Fe Cu As Se
1 1 1 2
direct
0.000 0.000 0.000
0.500 0.500 0.500
0.000 0.000 0.500
0.000 0.500 0.000
0.500 0.000 0.000



No. 24
PrDy3Er4 GGA-PBE optimized geometry; DOS(E_F) = 1.64 states/eV per atom; symmetry = Pmn2_1, No. 31; formation enthalpy at 0 K = 10.7 meV/atom; relative energy among the computed polymorphs = 0.0000 eV per atom; magnetization = 0.0 Bohr magnetons per cell
1.0
11.259 0.000 0.000
0.000 7.254 0.000
0.000 0.000 6.261
Pr Dy Er
2 6 8
direct
0.000 0.126 0.000
0.500 0.874 0.500
0.000 0.873 0.500
0.250 0.127 0.334
0.250 0.873 0.834
0.500 0.127 0.000
0.750 0.127 0.334
0.750 0.873 0.834
0.000 0.377 0.501
0.000 0.623 0.001
0.248 0.623 0.334
0.252 0.377 0.834
0.500 0.377 0.501
0.500 0.623 0.001
0.748 0.377 0.834
0.752 0.623 0.334



No. 25
La2InBr GGA-PBE optimized geometry; uncorrected formation energy = -0.73 eV/atom; DOS(E_F) = 0.71 states/eV per atom; symmetry = Fm-3m, No. 225; relative energy among the computed polymorphs = 0.1493 eV per atom; magnetization = 0.0 Bohr magnetons per cell
1.0
0.000 3.936 3.936
3.936 0.000 3.936
3.936 3.936 0.000
La In Br
2 1 1
direct
0.250 0.250 0.250
0.750 0.750 0.750
0.000 0.000 0.000
0.500 0.500 0.500